(1)
The following is a PBE calculation of a relaxed structure of NdSm2Pb7, from the Open Quantum Materials Database.

Lattice parameters (Å, degrees): 13.9031 13.9031 4.6637 90.00 90.00 160.97
With the nearest neighbours (Å) after each atom.
Fractional coordinates of all 10 atoms:
Nd 0.0000 0.0000 0.0000  12 Pb 3.27-3.55
Sm 0.3090 0.6910 0.5000  10 Pb 3.31-3.59
Sm 0.6910 0.3090 0.5000  10 Pb 3.31-3.59
Pb 0.0974 0.9026 0.5000  6 Pb 3.27-3.52, 2 Sm 3.45, 2 Nd 3.55
Pb 0.2095 0.7905 0.0000  2 Pb 3.20, 4 Sm 3.31
Pb 0.4022 0.5978 0.0000  6 Pb 3.27-3.55, 2 Sm 3.46, 2 Nd 3.53
Pb 0.5000 0.5000 0.5000  4 Nd 3.27, 8 Pb 3.52-3.55
Pb 0.5978 0.4022 0.0000  6 Pb 3.27-3.55, 2 Sm 3.46, 2 Nd 3.53
Pb 0.7905 0.2095 0.0000  2 Pb 3.20, 4 Sm 3.31
Pb 0.9026 0.0974 0.5000  6 Pb 3.27-3.52, 2 Sm 3.45, 2 Nd 3.55

Energy ... -4.41 eV/atom
Crystal system ... orthorhombic
Space-group type ... Cmmm (65)

(2)
The following is a PBE calculation of a relaxed structure of NdUTe, from the Open Quantum Materials Database.

Lattice parameters (Å, degrees): 7.3177 7.3177 7.3177 90.00 90.00 90.00
With the nearest neighbours (Å) after each atom.
Fractional coordinates of all 12 atoms:
Nd 0.0000 0.0000 0.0000  4 Te 3.17
Nd 0.0000 0.5000 0.5000  4 Te 3.17
Nd 0.5000 0.0000 0.5000  4 Te 3.17
Nd 0.5000 0.5000 0.0000  4 Te 3.17
U 0.0000 0.0000 0.5000  4 Te 3.17
U 0.0000 0.5000 0.0000  4 Te 3.17
U 0.5000 0.0000 0.0000  4 Te 3.17
U 0.5000 0.5000 0.5000  4 Te 3.17
Te 0.2500 0.2500 0.2500  4 Nd 3.17, 4 U 3.17
Te 0.2500 0.7500 0.7500  4 Nd 3.17, 4 U 3.17
Te 0.7500 0.2500 0.7500  4 Nd 3.17, 4 U 3.17
Te 0.7500 0.7500 0.2500  4 Nd 3.17, 4 U 3.17

Energy ... -6.35 eV/atom
Crystal system ... cubic
Space-group type ... F-43m (216)

(3)
The following is a PBE calculation of a relaxed structure of K2Mg2Zn3, from the Open Quantum Materials Database.

Lattice parameters (Å, degrees): 9.7788 9.7788 9.7788 29.74 29.74 29.74
With the nearest neighbours (Å) after each atom.
Fractional coordinates of all 7 atoms:
K 0.0000 0.0000 0.0000  4 Zn 3.00-3.10
K 0.4880 0.4880 0.4880  5 Zn 3.22-3.53
Mg 0.2552 0.2552 0.2552  6 Zn 2.92-3.01
Mg 0.7298 0.7298 0.7298  3 Zn 2.97
Zn 0.3731 0.3731 0.3731  4 Mg 2.97-3.30, 4 K 3.10-3.22
Zn 0.6028 0.6028 0.6028  3 Mg 2.92, 3 Zn 3.14, 1 K 3.22
Zn 0.8930 0.8930 0.8930  1 K 3.00, 3 Mg 3.01, 3 Zn 3.14

Energy ... -1.10 eV/atom
Crystal system ... trigonal
Space-group type ... R3m (160)

(4)
The following is a PBE calculation of a relaxed structure of NbIBr4, from the Open Quantum Materials Database.

Lattice parameters (Å, degrees): 6.8265 7.4131 10.0791 108.75 91.83 116.07
With the nearest neighbours (Å) after each atom.
Fractional coordinates of all 12 atoms:
Nb 0.1056 0.2166 0.2161  4 Br 2.45-2.74, 1 I 2.65
Nb 0.8944 0.7834 0.7839  4 Br 2.45-2.74, 1 I 2.65
I 0.0832 0.8169 0.5612  1 Nb 2.65
I 0.9168 0.1831 0.4388  1 Nb 2.65
Br 0.1154 0.6270 0.8581  1 Nb 2.49
Br 0.2346 0.1780 0.9568  2 Nb 2.74-2.75
Br 0.3021 0.0104 0.2441  1 Nb 2.50
Br 0.4427 0.5682 0.3231  1 Nb 2.45
Br 0.5573 0.4318 0.6769  1 Nb 2.45
Br 0.6979 0.9896 0.7559  1 Nb 2.50
Br 0.7654 0.8220 0.0432  2 Nb 2.74-2.75
Br 0.8846 0.3730 0.1419  1 Nb 2.49

Energy ... -3.80 eV/atom
Crystal system ... triclinic
Space-group type ... P-1 (2)

(5)
The following is a PBE calculation of a relaxed structure of GdGaSiPt2, from the Open Quantum Materials Database.

Lattice parameters (Å, degrees): 4.2175 4.2175 10.2215 90.00 90.00 90.00
With the nearest neighbours (Å) after each atom.
Fractional coordinates of all 10 atoms:
Gd 0.2500 0.2500 0.2396  4 Ga 3.23, 4 Si 3.23, 8 Pt 3.24-3.40
Gd 0.7500 0.7500 0.7604  4 Ga 3.23, 4 Si 3.23, 8 Pt 3.24-3.40
Ga 0.2500 0.2500 0.6401  5 Pt 2.48-2.55
Ga 0.7500 0.7500 0.3599  5 Pt 2.48-2.55
Si 0.2500 0.7500 0.0000  4 Pt 2.42
Si 0.7500 0.2500 0.0000  4 Pt 2.42
Pt 0.2500 0.2500 0.8832  4 Si 2.42, 1 Ga 2.48
Pt 0.2500 0.7500 0.5000  4 Ga 2.55
Pt 0.7500 0.2500 0.5000  4 Ga 2.55
Pt 0.7500 0.7500 0.1168  4 Si 2.42, 1 Ga 2.48

Energy ... -6.05 eV/atom
Crystal system ... tetragonal
Space-group type ... P4/nmm (129)

(6)
The following is a PBE calculation of a relaxed structure of Hf2Co4P3, from the Open Quantum Materials Database.

Lattice parameters (Å, degrees): 12.0136 12.0136 3.6301 90.00 90.00 120.00
With the nearest neighbours (Å) after each atom.
Fractional coordinates of all 36 atoms:
Hf 0.0000 0.1756 0.0000  6 P 2.73-2.78, 8 Co 2.78-2.97
Hf 0.0000 0.5556 0.5000  5 P 2.53-2.62, 8 Co 2.69-2.78
Hf 0.1756 0.0000 0.0000  6 P 2.73-2.78, 8 Co 2.78-2.97
Hf 0.3333 0.6667 0.5000  6 P 2.76, 9 Co 2.98-3.06
Hf 0.4444 0.4444 0.5000  5 P 2.53-2.62, 8 Co 2.69-2.78
Hf 0.5556 0.0000 0.5000  5 P 2.53-2.62, 8 Co 2.69-2.78
Hf 0.6667 0.3333 0.5000  6 P 2.76, 9 Co 2.98-3.06
Hf 0.8244 0.8244 0.0000  6 P 2.73-2.78, 8 Co 2.78-2.97
Co 0.0000 0.0000 0.5000  3 P 2.11
Co 0.0000 0.7215 0.0000  4 P 2.20-2.29
Co 0.1266 0.4819 0.0000  4 P 2.19-2.41
Co 0.1793 0.8064 0.5000  4 P 2.18-2.27
Co 0.1936 0.3729 0.5000  4 P 2.18-2.27
Co 0.2785 0.2785 0.0000  4 P 2.20-2.29
Co 0.3552 0.8734 0.0000  4 P 2.19-2.41
Co 0.3729 0.1936 0.5000  4 P 2.18-2.27
Co 0.4819 0.1266 0.0000  4 P 2.19-2.41
Co 0.5181 0.6448 0.0000  4 P 2.19-2.41
Co 0.6271 0.8207 0.5000  4 P 2.18-2.27
Co 0.6448 0.5181 0.0000  4 P 2.19-2.41
Co 0.7215 0.0000 0.0000  4 P 2.20-2.29
Co 0.8064 0.1793 0.5000  4 P 2.18-2.27
Co 0.8207 0.6271 0.5000  4 P 2.18-2.27
Co 0.8734 0.3552 0.0000  4 P 2.19-2.41
P 0.0000 0.3449 0.5000  6 Co 2.18-2.41
P 0.0000 0.8244 0.5000  5 Co 2.11-2.27
P 0.1734 0.6903 0.0000  5 Co 2.19-2.29
P 0.1756 0.1756 0.5000  5 Co 2.11-2.27
P 0.3097 0.4831 0.0000  5 Co 2.19-2.29
P 0.3449 0.0000 0.5000  6 Co 2.18-2.41
P 0.4831 0.3097 0.0000  5 Co 2.19-2.29
P 0.5169 0.8266 0.0000  5 Co 2.19-2.29
P 0.6551 0.6551 0.5000  6 Co 2.18-2.41
P 0.6903 0.1734 0.0000  5 Co 2.19-2.29
P 0.8244 0.0000 0.5000  5 Co 2.11-2.27
P 0.8266 0.5169 0.0000  5 Co 2.19-2.29

Energy ... -8.17 eV/atom
Crystal system ... hexagonal
Space-group type ... P-62m (189)

(7)
The following is a PBE calculation of a relaxed structure of HoSnSe2, from the Open Quantum Materials Database.

Lattice parameters (Å, degrees): 4.1728 4.1728 5.9266 90.00 90.00 90.00
With the nearest neighbours (Å) after each atom.
Fractional coordinates of all 4 atoms:
Ho 0.0000 0.0000 0.0000  6 Se 2.95-2.96
Sn 0.5000 0.5000 0.5000  6 Se 2.95-2.96
Se 0.0000 0.0000 0.5000  4 Sn 2.95, 2 Ho 2.96
Se 0.5000 0.5000 0.0000  4 Ho 2.95, 2 Sn 2.96

Energy ... -4.89 eV/atom
Crystal system ... tetragonal
Space-group type ... P4/mmm (123)

(8)
The following is a PBE calculation of a relaxed structure of Li2MgScSn2Pd2, from the Open Quantum Materials Database.

Lattice parameters (Å, degrees): 4.6129 4.6129 6.5122 90.00 90.00 90.00
With the nearest neighbours (Å) after each atom.
Fractional coordinates of all 8 atoms:
Li 0.0000 0.5000 0.2382  4 Sn 2.78-2.87, 2 Mg 2.78, 2 Sc 2.87
Li 0.5000 0.0000 0.7618  4 Sn 2.78-2.87, 2 Mg 2.78, 2 Sc 2.87
Mg 0.5000 0.5000 0.0000  4 Li 2.78, 4 Pd 2.83
Sc 0.0000 0.0000 0.5000  4 Pd 2.81, 4 Li 2.87
Sn 0.0000 0.0000 0.0000  4 Li 2.78, 4 Pd 2.83
Sn 0.5000 0.5000 0.5000  4 Pd 2.81, 4 Li 2.87
Pd 0.0000 0.5000 0.7469  4 Sn 2.81-2.83, 2 Sc 2.81, 2 Mg 2.83
Pd 0.5000 0.0000 0.2531  4 Sn 2.81-2.83, 2 Sc 2.81, 2 Mg 2.83

Energy ... -4.44 eV/atom
Crystal system ... tetragonal
Space-group type ... P-4m2 (115)